Density functional theory data (PBE) for a relaxed structure of Na2HfTe4.

Geometry as POSCAR:
```
Na2HfTe4
1.0
-2.8395 2.8395 7.7452
2.8395 -2.8395 7.7452
2.8395 2.8395 -7.7452
Na Hf Te
2 1 4
direct
0.1227 0.1227 0.0000 Na
0.8773 0.8773 0.0000 Na
0.5000 0.5000 0.0000 Hf
0.0000 0.5000 0.5000 Te
0.3197 0.3197 0.0000 Te
0.5000 0.0000 0.5000 Te
0.6803 0.6803 0.0000 Te
```

Calculated values
The calculation puts the formation energy without anion corrections at -513 meV/atom. The space group is No. 139. Its polymorph energy (0 for the lowest one) is 185 meV/atom.

Density functional theory data (PBE) for a relaxed structure of RbBCl3.

Geometry as POSCAR:
```
RbBCl3
1.0
6.0875 0.0000 0.0000
0.0000 6.0875 0.0000
0.0000 0.0000 6.0875
Rb B Cl
1 1 3
direct
0.0000 0.0000 0.0000 Rb
0.5000 0.5000 0.5000 B
0.0000 0.0000 0.5000 Cl
0.0000 0.5000 0.0000 Cl
0.5000 0.0000 0.0000 Cl
```

Calculated values
The calculation puts the formation energy without anion corrections at 653 meV/atom. The space group is No. 221. Its polymorph energy (0 for the lowest one) is 1970 meV/atom.

Density functional theory data (PBE) for a relaxed structure of Li2Ti2Pd5.

Geometry as POSCAR:
```
Li2Ti2Pd5
1.0
-6.7285 3.2794 3.2873
6.7285 -3.2794 3.2873
6.7285 3.2794 -3.2873
Li Ti Pd
4 4 10
direct
0.0000 0.0000 0.0000 Li
0.0000 0.5000 0.5000 Li
0.0322 0.2498 0.2824 Li
0.9674 0.7498 0.7176 Li
0.3502 0.5103 0.1082 Ti
0.3502 0.7420 0.3399 Ti
0.4021 0.0103 0.6601 Ti
0.4021 0.2420 0.8918 Ti
0.4934 0.9356 0.0578 Pd
0.4975 0.1407 0.2597 Pd
0.4975 0.7378 0.8568 Pd
0.5160 0.3556 0.4576 Pd
0.5160 0.5584 0.6603 Pd
0.8777 0.4356 0.9422 Pd
0.8810 0.2378 0.7403 Pd
0.8810 0.6407 0.1432 Pd
0.8981 0.0584 0.5424 Pd
0.8981 0.8556 0.3397 Pd
```

Calculated values
The space group is No. 46.

Density functional theory data (PBE) for a relaxed structure of Tb2Dy9Sc.

Geometry as POSCAR:
```
Tb2Dy9Sc
1.0
4.9868 0.0000 0.0000
0.0000 4.9868 0.0000
0.0000 0.0000 14.9261
Tb Dy Sc
2 9 1
direct
0.0000 0.0000 0.1686 Tb
0.0000 0.0000 0.8314 Tb
0.0000 0.5000 0.0000 Dy
0.0000 0.5000 0.3379 Dy
0.0000 0.5000 0.6621 Dy
0.5000 0.0000 0.0000 Dy
0.5000 0.0000 0.3379 Dy
0.5000 0.0000 0.6621 Dy
0.5000 0.5000 0.1692 Dy
0.5000 0.5000 0.5000 Dy
0.5000 0.5000 0.8308 Dy
0.0000 0.0000 0.5000 Sc
```

Calculated values
The space group is No. 123.

Density functional theory data (PBE) for a relaxed structure of Mg3AsC.

Geometry as POSCAR:
```
Mg3AsC
1.0
4.8885 0.0000 0.0000
0.0000 4.8885 0.0000
0.0000 0.0000 4.8885
Mg As C
3 1 1
direct
0.0000 0.0000 0.5000 Mg
0.0000 0.5000 0.0000 Mg
0.5000 0.0000 0.0000 Mg
0.0000 0.0000 0.0000 As
0.5000 0.5000 0.5000 C
```

Calculated values
The space group is No. 221. Its polymorph energy (0 for the lowest one) is 1163 meV/atom.

Density functional theory data (PBE) for a relaxed structure of HfCoP2Cl.

Geometry as POSCAR:
```
HfCoP2Cl
1.0
4.3906 0.0000 0.0000
0.0000 4.3906 0.0000
0.0000 0.0000 4.4231
Hf Co P Cl
1 1 2 1
direct
0.0000 0.0000 0.0000 Hf
0.5000 0.5000 0.5000 Co
0.0000 0.5000 0.5000 P
0.5000 0.0000 0.5000 P
0.5000 0.5000 0.0000 Cl
```

Calculated values
The calculation puts the formation energy without anion corrections at 183 meV/atom. The space group is No. 123. Its polymorph energy (0 for the lowest one) is 0 meV/atom.

Density functional theory data (PBE) for a relaxed structure of Li2MgTl.

Geometry as POSCAR:
```
Li2MgTl
1.0
2.0072 1.1589 6.6784
-2.0072 1.1589 6.6784
0.0000 -2.3177 6.6784
Li Mg Tl
2 1 1
direct
0.0000 0.0000 0.0000 Li
0.1794 0.1794 0.1794 Li
0.7590 0.7590 0.7590 Mg
0.5871 0.5871 0.5871 Tl
```

Calculated values
The space group is No. 160.

Density functional theory data (PBE) for a relaxed structure of NbSi2Rh.

Geometry as POSCAR:
```
NbSi2Rh
1.0
-1.9546 1.9546 8.5993
1.9546 -1.9546 8.5993
1.9546 1.9546 -8.5993
Nb Si Rh
2 4 2
direct
0.0000 0.0000 0.0000 Nb
0.7500 0.2500 0.5000 Nb
0.1710 0.6250 0.0460 Si
0.3750 0.4210 0.5460 Si
0.5790 0.1250 0.9540 Si
0.8750 0.8290 0.4540 Si
0.2500 0.7500 0.5000 Rh
0.5000 0.5000 0.0000 Rh
```

Calculated values
The calculation puts the formation energy without anion corrections at -84 meV/atom. The space group is No. 122.

Density functional theory data (PBE) for a relaxed structure of TiAl2V.

Geometry as POSCAR:
```
TiAl2V
1.0
1.4033 0.8102 9.1712
-1.4033 0.8102 9.1712
0.0000 -1.6204 9.1712
Ti Al V
1 2 1
direct
0.0000 0.0000 0.0000 Ti
0.2464 0.2464 0.2464 Al
0.7536 0.7536 0.7536 Al
0.5000 0.5000 0.5000 V
```

Calculated values
The space group is No. 166. Its polymorph energy (0 for the lowest one) is 204 meV/atom.

Density functional theory data (PBE) for a relaxed structure of Sc2AlFeRu.

Geometry as POSCAR:
```
Sc2AlFeRu
1.0
4.7507 0.0000 0.0000
0.0000 4.7507 0.0000
0.0000 0.0000 4.3674
Sc Al Fe Ru
2 1 1 1
direct
0.0000 0.5000 0.0000 Sc
0.5000 0.0000 0.0000 Sc
0.0000 0.0000 0.5000 Al
0.5000 0.5000 0.0000 Fe
0.5000 0.5000 0.5000 Ru
```

Calculated values
The space group is No. 123.

Density functional theory data (PBE) for a relaxed structure of AcLaTm.

Geometry as POSCAR:
```
AcLaTm
1.0
-1.9027 1.9027 7.7206
1.9027 -1.9027 7.7206
1.9027 1.9027 -7.7206
Ac La Tm
1 1 1
direct
0.0000 0.0000 0.0000 Ac
0.3226 0.3226 0.0000 La
0.6669 0.6669 0.0000 Tm
```

Calculated values
The space group is No. 107. Its polymorph energy (0 for the lowest one) is 5 meV/atom.

Density functional theory data (PBE) for a relaxed structure of HfTe2I2.

Geometry as POSCAR:
```
HfTe2I2
1.0
7.4814 0.0000 0.0000
0.0000 7.4814 0.0000
0.0000 0.0000 6.8086
Hf Te I
2 4 4
direct
0.0000 0.0000 0.0000 Hf
0.5000 0.5000 0.0000 Hf
0.1263 0.3737 0.5000 Te
0.3737 0.8737 0.5000 Te
0.6263 0.1263 0.5000 Te
0.8737 0.6263 0.5000 Te
0.1715 0.6715 0.0000 I
0.3285 0.1715 0.0000 I
0.6715 0.8285 0.0000 I
0.8285 0.3285 0.0000 I
```

Calculated values
The calculation puts the formation energy without anion corrections at 175 meV/atom. The space group is No. 127. Its polymorph energy (0 for the lowest one) is 831 meV/atom.

E_tot
In order: -4.107; -1.984; -5.362; -4.723; -2.633; -5.763; -1.881; -7.150; -6.237; -6.612; -4.445; -3.693
Unit: eV/atom